Density functional theory data (GGA-PBE) for a relaxed CaPm2Ga4 crystal.

Output
Electronic total energy (eV/f.u.): -27.444

Cell lengths 4.194, 4.461, 18.642 Å; angles 90.00, 90.00, 90.00 degrees
Element x y z (fractional)
1 Ca 0.000 0.000 0.000
2 Ca 0.500 0.500 0.500
3 Pm 0.000 0.500 0.316
4 Pm 0.000 0.500 0.684
5 Pm 0.500 0.000 0.184
6 Pm 0.500 0.000 0.816
7 Ga 0.000 0.000 0.434
8 Ga 0.000 0.000 0.566
9 Ga 0.000 0.500 0.146
10 Ga 0.000 0.500 0.854
11 Ga 0.500 0.000 0.354
12 Ga 0.500 0.000 0.646
13 Ga 0.500 0.500 0.066
14 Ga 0.500 0.500 0.934


Density functional theory data (GGA-PBE) for a relaxed CaCuPb2 crystal.

Output
Electronic total energy (eV/f.u.): -13.746

Cell lengths 3.742, 3.742, 7.367 Å; angles 90.00, 90.00, 90.00 degrees
Element x y z (fractional)
1 Ca 0.000 0.000 0.000
2 Cu 0.000 0.000 0.500
3 Pb 0.500 0.500 0.291
4 Pb 0.500 0.500 0.709


Density functional theory data (GGA-PBE) for a relaxed Pa2CuNi5 crystal.

Output
Electronic total energy (eV/f.u.): -53.731

Cell lengths 5.901, 5.901, 6.899 Å; angles 90.00, 90.00, 90.00 degrees
Element x y z (fractional)
1 Pa 0.000 0.500 0.000
2 Pa 0.000 0.500 0.500
3 Pa 0.500 0.000 0.000
4 Pa 0.500 0.000 0.500
5 Cu 0.000 0.000 0.398
6 Cu 0.500 0.500 0.898
7 Ni 0.000 0.000 0.041
8 Ni 0.208 0.208 0.746
9 Ni 0.208 0.792 0.746
10 Ni 0.292 0.292 0.246
11 Ni 0.292 0.708 0.246
12 Ni 0.500 0.500 0.541
13 Ni 0.708 0.292 0.246
14 Ni 0.708 0.708 0.246
15 Ni 0.792 0.208 0.746
16 Ni 0.792 0.792 0.746


Density functional theory data (GGA-PBE) for a relaxed RbTlVCl6 crystal.

Output
Electronic total energy (eV/f.u.): -34.913

Cell lengths 7.525, 7.525, 6.201 Å; angles 90.00, 90.00, 120.00 degrees
Element x y z (fractional)
1 Rb 0.000 0.000 0.000
2 Tl 0.667 0.333 0.500
3 V 0.333 0.667 0.000
4 Cl 0.077 0.419 0.220
5 Cl 0.077 0.658 0.780
6 Cl 0.342 0.419 0.780
7 Cl 0.342 0.923 0.220
8 Cl 0.581 0.658 0.220
9 Cl 0.581 0.923 0.780


Density functional theory data (GGA-PBE) for a relaxed BaTbCdPb crystal.

Output
Electronic total energy (eV/f.u.): -12.424

Cell lengths 8.072, 8.072, 8.072 Å; angles 90.00, 90.00, 90.00 degrees
Element x y z (fractional)
1 Ba 0.000 0.000 0.000
2 Ba 0.000 0.500 0.500
3 Ba 0.500 0.000 0.500
4 Ba 0.500 0.500 0.000
5 Tb 0.000 0.000 0.500
6 Tb 0.000 0.500 0.000
7 Tb 0.500 0.000 0.000
8 Tb 0.500 0.500 0.500
9 Cd 0.250 0.250 0.250
10 Cd 0.250 0.750 0.750
11 Cd 0.750 0.250 0.750
12 Cd 0.750 0.750 0.250
13 Pb 0.250 0.250 0.750
14 Pb 0.250 0.750 0.250
15 Pb 0.750 0.250 0.250
16 Pb 0.750 0.750 0.750


Density functional theory data (GGA-PBE) for a relaxed NaPaTe3 crystal.

Output
Excess energy over the best structure of this formula in the dataset (kJ/mol of formula units): 0.0

Cell lengths 7.931, 7.931, 10.196 Å; angles 91.34, 91.34, 44.85 degrees
Element x y z (fractional)
1 Na 0.240 0.240 0.348
2 Na 0.760 0.760 0.652
3 Pa 0.140 0.140 0.918
4 Pa 0.860 0.860 0.082
5 Te 0.051 0.051 0.181
6 Te 0.199 0.199 0.653
7 Te 0.335 0.335 0.048
8 Te 0.665 0.665 0.952
9 Te 0.801 0.801 0.347
10 Te 0.949 0.949 0.819


Density functional theory data (GGA-PBE) for a relaxed HoSc3Al2 crystal.

Output
Excess energy over the best structure of this formula in the dataset (kJ/mol of formula units): 107.3

Cell lengths 7.849, 7.849, 4.947 Å; angles 90.00, 90.00, 69.01 degrees
Element x y z (fractional)
1 Ho 0.209 0.791 0.750
2 Ho 0.791 0.209 0.250
3 Sc 0.127 0.390 0.250
4 Sc 0.390 0.127 0.750
5 Sc 0.408 0.592 0.250
6 Sc 0.592 0.408 0.750
7 Sc 0.610 0.873 0.250
8 Sc 0.873 0.610 0.750
9 Al 0.007 0.218 0.750
10 Al 0.218 0.007 0.250
11 Al 0.782 0.993 0.750
12 Al 0.993 0.782 0.250


Q: Number 3 is which compound?
A: Pa2CuNi5